1.
Compound: Ba2SbTe
Source: the Alexandria database
Functional: GGA-PBEsol
Structure: relaxed

Structure (CIF):
```
data_Ba2SbTe
_chemical_formula_sum 'Ba2 Sb1 Te1'
_cell_length_a 6.0993
_cell_length_b 6.0993
_cell_length_c 3.8928
_cell_angle_alpha 90.00
_cell_angle_beta 90.00
_cell_angle_gamma 90.00
_space_group_name_H-M_alt 'P 4/m m m'
_space_group_IT_number 123
_space_group_name_Hall '-P 4 2'
loop_
_atom_site_label
_atom_site_type_symbol
_atom_site_fract_x
_atom_site_fract_y
_atom_site_fract_z
_atom_site_occupancy
Ba1 Ba 0.0000 0.5000 0.0000 1
Sb1 Sb 0.0000 0.0000 0.5000 1
Te1 Te 0.5000 0.5000 0.5000 1
```

Formation energy from raw total energies, eV/atom: -1.200
N(E_F), states/eV/f.u.: 3.1
E above lowest polymorph, kJ per mole of atoms: 3.2
Raw total energy, eV/cell: -17.2

---

2.
Compound: BaSbTe2
Source: the Alexandria database
Functional: GGA-PBEsol
Structure: relaxed

Structure (CIF):
```
data_BaSbTe2
_chemical_formula_sum 'Ba1 Sb1 Te2'
_cell_length_a 3.9813
_cell_length_b 3.9813
_cell_length_c 7.9135
_cell_angle_alpha 90.00
_cell_angle_beta 90.00
_cell_angle_gamma 90.00
_space_group_name_H-M_alt 'P 4/m m m'
_space_group_IT_number 123
_space_group_name_Hall '-P 4 2'
loop_
_atom_site_label
_atom_site_type_symbol
_atom_site_fract_x
_atom_site_fract_y
_atom_site_fract_z
_atom_site_occupancy
Ba1 Ba 0.0000 0.0000 0.0000 1
Sb1 Sb 0.0000 0.0000 0.5000 1
Te1 Te 0.5000 0.5000 0.2698 1
```

Formation energy from raw total energies, eV/atom: -0.567
N(E_F), states/eV/f.u.: 2.4
Raw total energy, eV/cell: -16.0

---

3.
Compound: Ba3SbTe
Source: the Alexandria database
Functional: GGA-PBEsol
Structure: relaxed

Structure (CIF):
```
data_Ba3SbTe
_chemical_formula_sum 'Ba3 Sb1 Te1'
_cell_length_a 6.3339
_cell_length_b 6.3339
_cell_length_c 6.3339
_cell_angle_alpha 90.00
_cell_angle_beta 90.00
_cell_angle_gamma 90.00
_space_group_name_H-M_alt 'P m -3 m'
_space_group_IT_number 221
_space_group_name_Hall '-P 4 2 3'
loop_
_atom_site_label
_atom_site_type_symbol
_atom_site_fract_x
_atom_site_fract_y
_atom_site_fract_z
_atom_site_occupancy
Ba1 Ba 0.0000 0.0000 0.5000 1
Sb1 Sb 0.5000 0.5000 0.5000 1
Te1 Te 0.0000 0.0000 0.0000 1
```

Formation energy from raw total energies, eV/atom: -0.687
N(E_F), states/eV/f.u.: 3.3
Raw total energy, eV/cell: -18.0

---

4.
Compound: BaSbTe3
Source: the Alexandria database
Functional: GGA-PBEsol
Structure: relaxed

Structure (CIF):
```
data_BaSbTe3
_chemical_formula_sum 'Ba8 Sb8 Te24'
_cell_length_a 4.4609
_cell_length_b 16.9262
_cell_length_c 18.0793
_cell_angle_alpha 90.00
_cell_angle_beta 90.00
_cell_angle_gamma 90.00
_space_group_name_H-M_alt 'P 21 21 21'
_space_group_IT_number 19
_space_group_name_Hall 'P 2ac 2ab'
loop_
_atom_site_label
_atom_site_type_symbol
_atom_site_fract_x
_atom_site_fract_y
_atom_site_fract_z
_atom_site_occupancy
Ba1 Ba 0.2432 0.1033 0.4039 1
Ba2 Ba 0.2472 0.9560 0.1655 1
Sb1 Sb 0.2418 0.2794 0.7996 1
Sb2 Sb 0.2460 0.3630 0.0306 1
Te1 Te 0.2299 0.2366 0.5567 1
Te2 Te 0.2308 0.7132 0.8076 1
Te3 Te 0.2396 0.8202 0.5920 1
Te4 Te 0.2455 0.4351 0.7335 1
Te5 Te 0.2448 0.8973 0.3659 1
Te6 Te 0.2473 0.4760 0.4753 1
```

Formation energy from raw total energies, eV/atom: -0.779
N(E_F), states/eV/f.u.: 0.7
Raw total energy, eV/cell: -169.4